Te2POsN (GGA-PBE, relaxed); N(E_F) = 2.517 states/eV per cell; offset from the most stable computed form = 0 meV/atom
1.0
5.384 0.000 0.000
0.000 5.384 0.000
0.000 0.000 3.678
Te P Os N
2 1 1 1
direct
0.000 0.500 0.000
0.500 0.000 0.000
0.000 0.000 0.500
0.500 0.500 0.000
0.500 0.500 0.500

PaOsN (GGA-PBE, relaxed); N(E_F) = 1.924 states/eV per cell; offset from the most stable computed form = 0 meV/atom
1.0
7.121 0.000 0.000
0.000 3.708 0.000
0.000 0.000 7.532
Pa Os N
4 4 4
direct
0.065 0.250 0.209
0.435 0.750 0.709
0.565 0.250 0.291
0.935 0.750 0.791
0.147 0.750 0.478
0.353 0.250 0.978
0.647 0.750 0.022
0.853 0.250 0.522
0.190 0.750 0.958
0.310 0.250 0.458
0.690 0.750 0.542
0.810 0.250 0.042

Pa3Os5N12 (GGA-PBE, relaxed); uncorrected energy = -9.54 eV per atom; N(E_F) = 46.025 states/eV per cell
1.0
-6.329 6.329 6.329
6.329 -6.329 6.329
6.329 6.329 -6.329
Pa Os N
12 20 48
direct
0.125 0.250 0.375
0.125 0.375 0.750
0.250 0.375 0.125
0.250 0.875 0.625
0.375 0.125 0.250
0.375 0.750 0.125
0.625 0.250 0.875
0.625 0.875 0.750
0.750 0.125 0.375
0.750 0.625 0.875
0.875 0.625 0.250
0.875 0.750 0.625
0.000 0.000 0.000
0.000 0.000 0.500
0.000 0.500 0.000
0.000 0.500 0.500
0.125 0.750 0.875
0.125 0.875 0.250
0.250 0.125 0.875
0.250 0.625 0.375
0.375 0.250 0.625
0.375 0.625 0.750
0.500 0.000 0.000
0.500 0.000 0.500
0.500 0.500 0.000
0.500 0.500 0.500
0.625 0.375 0.250
0.625 0.750 0.375
0.750 0.375 0.625
0.750 0.875 0.125
0.875 0.125 0.750
0.875 0.250 0.125
0.027 0.204 0.125
0.027 0.323 0.902
0.079 0.704 0.677
0.079 0.875 0.402
0.098 0.625 0.421
0.098 0.973 0.677
0.125 0.027 0.204
0.125 0.598 0.921
0.177 0.204 0.579
0.177 0.473 0.598
0.204 0.125 0.027
0.204 0.579 0.177
0.296 0.323 0.921
0.296 0.473 0.375
0.323 0.902 0.027
0.323 0.921 0.296
0.375 0.296 0.473
0.375 0.579 0.902
0.402 0.079 0.875
0.402 0.823 0.527
0.421 0.098 0.625
0.421 0.823 0.796
0.473 0.375 0.296
0.473 0.598 0.177
0.527 0.402 0.823
0.527 0.625 0.704
0.579 0.177 0.204
0.579 0.902 0.375
0.598 0.177 0.473
0.598 0.921 0.125
0.625 0.421 0.098
0.625 0.704 0.527
0.677 0.079 0.704
0.677 0.098 0.973
0.704 0.527 0.625
0.704 0.677 0.079
0.796 0.421 0.823
0.796 0.875 0.973
0.823 0.527 0.402
0.823 0.796 0.421
0.875 0.402 0.079
0.875 0.973 0.796
0.902 0.027 0.323
0.902 0.375 0.579
0.921 0.125 0.598
0.921 0.296 0.323
0.973 0.677 0.098
0.973 0.796 0.875

Pa4OsN7 (GGA-PBE, relaxed); uncorrected energy = -10.41 eV per atom; N(E_F) = 3.561 states/eV per cell
1.0
6.418 -1.924 0.000
6.418 1.924 0.000
-6.171 0.000 6.675
Pa Os N
4 1 7
direct
0.080 0.080 0.376
0.253 0.253 0.169
0.747 0.747 0.831
0.920 0.920 0.624
0.500 0.500 0.000
0.000 0.000 0.000
0.127 0.127 0.677
0.305 0.305 0.462
0.397 0.397 0.107
0.603 0.603 0.893
0.695 0.695 0.538
0.873 0.873 0.323

Pa3OsN6 (GGA-PBE, relaxed); uncorrected energy = -10.19 eV per atom; N(E_F) = 3.195 states/eV per cell
1.0
4.616 -5.520 0.000
4.616 5.520 0.000
0.000 0.000 5.442
Pa Os N
6 2 12
direct
0.111 0.889 0.500
0.176 0.411 0.453
0.411 0.176 0.953
0.589 0.824 0.453
0.824 0.589 0.953
0.889 0.111 0.000
0.374 0.626 0.942
0.626 0.374 0.442
0.102 0.604 0.749
0.144 0.165 0.725
0.165 0.144 0.225
0.276 0.724 0.267
0.396 0.898 0.749
0.489 0.511 0.656
0.511 0.489 0.156
0.604 0.102 0.249
0.724 0.276 0.767
0.835 0.856 0.725
0.856 0.835 0.225
0.898 0.396 0.249

PaOsN (GGA-PBE, relaxed); N(E_F) = 1.176 states/eV per cell; offset from the most stable computed form = 309 meV/atom
1.0
3.912 0.000 0.000
-1.956 3.388 0.000
0.000 0.000 3.462
Pa Os N
1 1 1
direct
0.000 0.000 0.000
0.333 0.667 0.509
0.667 0.333 0.403

PaOsN (GGA-PBE, relaxed); N(E_F) = 2.286 states/eV per cell; offset from the most stable computed form = 581 meV/atom
1.0
-1.960 1.960 3.708
1.960 -1.960 3.708
1.960 1.960 -3.708
Pa Os N
1 1 1
direct
0.000 0.000 0.000
0.536 0.536 0.000
0.283 0.283 0.000

Pa2OsN (GGA-PBE, relaxed); N(E_F) = 3.847 states/eV per cell; offset from the most stable computed form = 192 meV/atom
1.0
3.041 0.000 0.000
0.000 3.041 0.000
0.000 0.000 7.182
Pa Os N
2 1 1
direct
0.000 0.000 0.217
0.000 0.000 0.783
0.500 0.500 0.500
0.500 0.500 0.000

PaOsN2 (GGA-PBE, relaxed); uncorrected energy = -9.74 eV per atom; N(E_F) = 2.402 states/eV per cell
1.0
1.838 1.061 5.653
-1.838 1.061 5.653
0.000 -2.123 5.653
Pa Os N
1 1 2
direct
0.000 0.000 0.000
0.500 0.500 0.500
0.386 0.386 0.386
0.614 0.614 0.614

Pa2OsN5 (GGA-PBE, relaxed); uncorrected energy = -9.91 eV per atom; N(E_F) = 9.031 states/eV per cell
1.0
6.270 -2.749 0.000
6.270 2.749 0.000
-0.482 0.000 5.661
Pa Os N
4 2 10
direct
0.144 0.663 0.958
0.337 0.856 0.542
0.663 0.144 0.458
0.856 0.337 0.042
0.000 0.500 0.500
0.500 0.000 0.000
0.040 0.960 0.250
0.162 0.280 0.797
0.278 0.539 0.567
0.280 0.162 0.297
0.461 0.722 0.933
0.539 0.278 0.067
0.720 0.838 0.703
0.722 0.461 0.433
0.838 0.720 0.203
0.960 0.040 0.750

Pa5Os2N12 (GGA-PBE, relaxed); uncorrected energy = -10.00 eV per atom; N(E_F) = 6.696 states/eV per cell
1.0
6.271 -2.863 0.000
6.271 2.863 0.000
-2.305 0.000 7.185
Pa Os N
5 2 12
direct
0.000 0.000 0.000
0.313 0.313 0.152
0.317 0.317 0.661
0.683 0.683 0.339
0.687 0.687 0.848
0.216 0.784 0.500
0.784 0.216 0.500
0.002 0.002 0.298
0.090 0.573 0.413
0.093 0.597 0.925
0.403 0.907 0.075
0.427 0.910 0.587
0.500 0.500 0.322
0.500 0.500 0.678
0.573 0.090 0.413
0.597 0.093 0.925
0.907 0.403 0.075
0.910 0.427 0.587
0.998 0.998 0.702

Pa2OsN (GGA-PBE, relaxed); N(E_F) = 5.699 states/eV per cell; offset from the most stable computed form = 0 meV/atom
1.0
1.817 1.049 6.565
-1.817 1.049 6.565
0.000 -2.098 6.565
Pa Os N
2 1 1
direct
0.238 0.238 0.238
0.762 0.762 0.762
0.000 0.000 0.000
0.500 0.500 0.500

Pr2PaOs2N6 (GGA-PBE, relaxed); uncorrected energy = -8.90 eV per atom; N(E_F) = 4.992 states/eV per cell
1.0
2.863 1.653 5.951
-2.863 1.653 5.951
0.000 -3.306 5.951
Pr Pa Os N
2 1 2 6
direct
0.211 0.211 0.211
0.789 0.789 0.789
0.000 0.000 0.000
0.394 0.394 0.394
0.606 0.606 0.606
0.223 0.746 0.746
0.254 0.254 0.777
0.254 0.777 0.254
0.746 0.223 0.746
0.746 0.746 0.223
0.777 0.254 0.254

Rb3Pa3OsN8 (GGA-PBE, relaxed); uncorrected energy = -8.00 eV per atom; N(E_F) = 6.515 states/eV per cell
1.0
3.455 1.995 6.759
-3.455 1.995 6.759
0.000 -3.990 6.759
Rb Pa Os N
3 3 1 8
direct
0.000 0.500 0.500
0.500 0.000 0.500
0.500 0.500 0.000
0.000 0.000 0.500
0.000 0.500 0.000
0.500 0.000 0.000
0.500 0.500 0.500
0.220 0.220 0.220
0.239 0.705 0.705
0.295 0.295 0.761
0.295 0.761 0.295
0.705 0.239 0.705
0.705 0.705 0.239
0.761 0.295 0.295
0.780 0.780 0.780

RbPaOsN4 (GGA-PBE, relaxed); uncorrected energy = -8.26 eV per atom; N(E_F) = 1.558 states/eV per cell
1.0
6.093 0.000 0.000
0.000 5.734 0.000
-2.302 0.000 7.617
Rb Pa Os N
2 2 2 8
direct
0.214 0.250 0.444
0.786 0.750 0.556
0.298 0.250 0.968
0.702 0.750 0.032
0.245 0.750 0.151
0.755 0.250 0.849
0.036 0.750 0.938
0.069 0.750 0.294
0.483 0.516 0.166
0.483 0.984 0.166
0.517 0.016 0.834
0.517 0.484 0.834
0.931 0.250 0.706
0.964 0.250 0.062

RbPa2OsN5 (GGA-PBE, relaxed); uncorrected energy = -8.82 eV per atom; N(E_F) = 8.839 states/eV per cell
1.0
-3.388 3.388 5.800
3.388 -3.388 5.800
3.388 3.388 -5.800
Rb Pa Os N
2 4 2 10
direct
0.250 0.250 0.000
0.750 0.750 0.000
0.191 0.691 0.881
0.309 0.191 0.500
0.691 0.809 0.500
0.809 0.309 0.119
0.250 0.750 0.500
0.750 0.250 0.500
0.000 0.000 0.000
0.008 0.239 0.500
0.239 0.739 0.231
0.261 0.492 0.500
0.492 0.992 0.231
0.500 0.500 0.000
0.508 0.008 0.769
0.739 0.508 0.500
0.761 0.261 0.769
0.992 0.761 0.500

RbPa3Os4N12 (GGA-PBE, relaxed); uncorrected energy = -8.92 eV per atom; N(E_F) = 9.909 states/eV per cell
1.0
5.700 3.291 3.229
-5.700 3.291 3.229
0.000 -6.582 3.229
Rb Pa Os N
1 3 4 12
direct
0.000 0.000 0.000
0.000 0.564 0.436
0.436 0.000 0.564
0.564 0.436 0.000
0.059 0.500 0.941
0.500 0.500 0.500
0.500 0.941 0.059
0.941 0.059 0.500
0.018 0.614 0.752
0.102 0.898 0.500
0.248 0.386 0.982
0.339 0.661 0.500
0.386 0.982 0.248
0.500 0.102 0.898
0.500 0.339 0.661
0.614 0.752 0.018
0.661 0.500 0.339
0.752 0.018 0.614
0.898 0.500 0.102
0.982 0.248 0.386

Pa2OsS2N2 (GGA-PBE, relaxed); uncorrected energy = -8.75 eV per atom; N(E_F) = 8.571 states/eV per cell
1.0
3.855 0.000 0.000
-1.928 3.339 0.000
0.000 0.000 10.804
Pa Os S N
2 1 2 2
direct
0.333 0.667 0.136
0.667 0.333 0.864
0.000 0.000 0.500
0.000 0.000 0.291
0.000 0.000 0.709
0.333 0.667 0.923
0.667 0.333 0.077